# UFePt2

A relaxed UFePt2 crystal (PBE, Alexandria via LeMat-Bulk).

Geometry as POSCAR:
```
UFePt2
1.0
3.962 0.000 0.000
0.000 3.963 0.000
-1.981 -1.981 4.305
U Fe Pt
1 1 2
Direct
0.000 0.000 0.000
0.500 0.500 0.000
0.250 0.750 0.500
0.750 0.250 0.500
```

Energy of formation = -0.465 eV/atom
Symmetry = No. 139
N(E_F) = 5.25 states/eV per cell
Volume = 67.6 Å³/cell



# U2FePt9

A relaxed U2FePt9 crystal (PBE, Alexandria via LeMat-Bulk).

Geometry as POSCAR:
```
U2FePt9
1.0
-2.450 0.574 3.240
-2.852 -2.386 -1.733
4.859 -9.729 5.398
U Fe Pt
2 1 9
Direct
0.000 0.000 0.325
0.000 0.000 0.675
0.000 0.000 0.000
0.500 0.500 0.000
0.500 0.500 0.327
0.500 0.500 0.673
0.500 0.000 0.156
0.500 0.000 0.500
0.500 0.000 0.844
0.000 0.500 0.156
0.000 0.500 0.500
0.000 0.500 0.844
```

Energy of formation = -0.545 eV/atom
Symmetry = No. 123
N(E_F) = 16.86 states/eV per cell
Volume = 204.3 Å³/cell



# UFePt

A relaxed UFePt crystal (PBE, Alexandria via LeMat-Bulk).

Geometry as POSCAR:
```
UFePt
1.0
3.812 -0.001 0.001
1.909 6.311 -1.026
0.002 2.271 4.024
Fe Pt U
2 2 2
Direct
0.282 0.935 0.688
0.718 0.065 0.312
0.929 0.641 0.674
0.071 0.359 0.326
0.627 0.245 0.846
0.373 0.755 0.154
```

Energy of formation = -0.415 eV/atom
Symmetry = No. 12
N(E_F) = 6.73 states/eV per cell
Volume = 105.7 Å³/cell



# UFePt

A relaxed UFePt crystal (PBE, Alexandria via LeMat-Bulk).

Geometry as POSCAR:
```
UFePt
1.0
-0.657 2.044 2.585
2.440 -2.385 2.506
1.689 3.243 -2.134
U Fe Pt
1 1 1
Direct
0.111 0.000 0.000
0.230 0.667 0.333
0.659 0.333 0.667
```

Energy of formation = -0.075 eV/atom
Symmetry = No. 156
N(E_F) = 3.74 states/eV per cell
Volume = 52.2 Å³/cell